(1)
8
Lattice="6.748 0.000 0.000 0.000 3.582 0.000 -2.461 0.000 6.471" Properties=species:S:1:pos:R:3 comment="Rb2PuInO4 (PBE, relaxed)" energy_ev_per_atom=-6.718 formation_energy_uncorrected_ev_per_atom=-1.86 m_tot_mub_per_fu=3.00 crystal_system=monoclinic pbc="T T T"
Rb 0.000 0.000 0.000
Rb 3.374 1.791 0.000
Pu -1.231 1.791 3.235
In 2.143 0.000 3.235
O 0.423 1.791 2.110
O -0.391 0.000 4.430
O 4.677 0.000 2.041
O 3.863 1.791 4.360

(2)
10
Lattice="6.623 -2.760 0.000 6.623 2.760 0.000 -6.388 0.000 6.832" Properties=species:S:1:pos:R:3 comment="Ac2GaSbAu6 (PBE, relaxed)" energy_ev_per_atom=-4.051 formation_energy_uncorrected_ev_per_atom=-0.55 m_tot_mub_per_fu=0.00 crystal_system=monoclinic pbc="T T T"
Ac 1.801 0.000 1.468
Ac 5.057 0.000 5.364
Ga -3.194 0.000 3.416
Sb 6.623 0.000 0.000
Au 4.732 1.380 1.660
Au -0.434 0.000 3.966
Au 2.126 1.380 5.172
Au 4.732 -1.380 1.660
Au 7.292 0.000 2.866
Au 2.126 -1.380 5.172

(3)
5
Lattice="4.689 0.000 0.000 0.000 4.689 0.000 0.000 0.000 4.689" Properties=species:S:1:pos:R:3 comment="TiNb3Al (PBE, relaxed)" energy_ev_per_atom=-7.306 m_tot_mub_per_fu=0.00 crystal_system=cubic pbc="T T T"
Ti 0.000 0.000 0.000
Nb 0.000 0.000 2.344
Nb 0.000 2.344 0.000
Nb 2.344 0.000 0.000
Al 2.344 2.344 2.344

(4)
9
Lattice="-3.096 3.096 4.433 3.096 -3.096 4.433 3.096 3.096 -4.433" Properties=species:S:1:pos:R:3 comment="Ho2Cd2PRh4 (PBE, relaxed)" energy_ev_per_atom=-5.577 m_tot_mub_per_fu=0.00 crystal_system=tetragonal pbc="T T T"
Ho 0.000 0.000 1.790
Ho 0.000 0.000 7.076
Cd 3.096 0.000 2.217
Cd 0.000 3.096 2.217
P 0.000 0.000 4.433
Rh 1.500 1.500 0.000
Rh 1.596 -1.596 4.433
Rh -1.596 1.596 4.433
Rh 1.596 1.596 4.433